VASP calculation (GGA-PBE) on a relaxed structure of Ce2Si3GeIr4.

Output
**Total moment**: 0.83 μB/f.u.
**Energy relative to the elements, uncorrected**: -0.987 eV per atom
**Symmetry**: P-4m2 (115)

```
Ce2Si3GeIr4
1.0
4.184 0.000 0.000
0.000 4.184 0.000
0.000 0.000 9.981
Ce Si Ge Ir
2 3 1 4
direct
0.000 0.500 0.245 Ce
0.500 0.000 0.755 Ce
0.000 0.000 0.000 Si
0.000 0.500 0.628 Si
0.500 0.000 0.372 Si
0.500 0.500 0.000 Ge
0.000 0.000 0.500 Ir
0.000 0.500 0.868 Ir
0.500 0.000 0.132 Ir
0.500 0.500 0.500 Ir
```